[1]
DFT (PBE-GGA) results for a geometry-optimized ZnSi2Au2 structure.

Structure (POSCAR):
```
ZnSi2Au2
1.0
-1.815 1.815 6.606
1.815 -1.815 6.606
1.815 1.815 -6.606
Zn Si Au
1 2 2
Direct
0.000 0.000 0.000
0.250 0.750 0.500
0.750 0.250 0.500
0.398 0.398 0.000
0.602 0.602 0.000
```

---

[2]
DFT (PBE-GGA) results for a geometry-optimized ZnSi2Au structure.

Structure (POSCAR):
```
ZnSi2Au
1.0
0.000 3.212 3.212
3.212 0.000 3.212
3.212 3.212 0.000
Zn Si Au
1 2 1
Direct
0.000 0.000 0.000
0.250 0.250 0.250
0.500 0.500 0.500
0.750 0.750 0.750
```

---

[3]
ZrSi2Au, relaxed, DFT PBE-GGA; total magnetization = 0.02 μB per cell
1.0
0.000 3.308 3.308
3.308 0.000 3.308
3.308 3.308 0.000
Zr Si Au
1 2 1
Direct
0.000 0.000 0.000
0.250 0.250 0.250
0.500 0.500 0.500
0.750 0.750 0.750

---

[4]
ZrSi2Au, relaxed, DFT PBE-GGA; total magnetization = 0.02 μB per cell
1.0
0.000 3.307 3.307
3.307 0.000 3.307
3.307 3.307 0.000
Zr Si Au
1 2 1
Direct
0.000 0.000 0.000
0.250 0.250 0.250
0.500 0.500 0.500
0.750 0.750 0.750

---

| no. | DFT total energy (eV for the cell shown) |
| --- | --- |
| 1 | -17.79 |
| 2 | -13.94 |
| 3 | -22.34 |
| 4 | -22.34 |